MgTlSb2 | PBE-GGA | relaxed Values from VASP.

Results
E above lowest polymorph: 78 meV/atom
VASP energy: -3.052 eV/atom
ΔE_f (raw): -0.001 eV per atom
Mass density: 7.051 g cm⁻³
Total magnetization: 0.00 μB/f.u.

Quantum ESPRESSO input file:
```
&SYSTEM
  ibrav = 0, nat = 4, ntyp = 3
/
ATOMIC_SPECIES
Mg 24.30 Mg.upf
Sb 121.76 Sb.upf
Tl 204.38 Tl.upf
CELL_PARAMETERS angstrom
-0.074 2.552 -2.260
-5.249 -0.658 -0.571
-0.995 3.994 4.542
ATOMIC_POSITIONS angstrom
Mg -3.528 4.426 2.541
Sb -0.874 3.507 3.989
Sb -3.031 2.430 0.271
Tl -0.378 1.516 1.724
```